The following is a DFT calculation (GGA-PBE) of a relaxed structure of AgGe2Cl8.

N(E_F): 5.974 states/eV/cell
E_tot: -34.45 eV/cell
Spin magnetization: 0.000 μB per atom
Formation energy from raw total energies: -690 meV/atom
Symmetry: C2/m (12)

a b c (Å): 6.4575 7.9178 7.9178
angles (deg): 77.28 80.74 80.74
Sites, in units of the cell vectors:
Ag  0.0000  0.0000  0.0000
Ge  0.6881  0.7913  0.7913
Ge  0.3119  0.2087  0.2087
Cl  0.2171  0.2914  0.9394
Cl  0.7829  0.0606  0.7086
Cl  0.3349  0.8104  0.8104
Cl  0.6651  0.1896  0.1896
Cl  0.2171  0.9394  0.2914
Cl  0.7829  0.7086  0.0606
Cl  0.8568  0.6169  0.6169
Cl  0.1432  0.3831  0.3831